# 1
Density functional theory data (PBE) for a relaxed Hf4CdPC2 crystal.

Cell lengths 3.3513, 3.3513, 13.5660 Å; angles 90.00, 90.00, 120.00 degrees
Last column: nearest neighbours and their distance in Å.
Sites, in units of the cell vectors:
C (0.3333, 0.6667, 0.2731)  6 Hf 2.28-2.32
C (0.3333, 0.6667, 0.7269)  6 Hf 2.28-2.32
Cd (0.0000, 0.0000, 0.0000)  6 Hf 3.16, 6 Cd 3.35
Hf (0.6667, 0.3333, 0.1842)  3 C 2.28
Hf (0.0000, 0.0000, 0.3679)  3 C 2.32
Hf (0.0000, 0.0000, 0.6321)  3 C 2.32
Hf (0.6667, 0.3333, 0.8158)  3 C 2.28
P (0.6667, 0.3333, 0.5000)  6 Hf 2.64

Properties
- volume (Å³ per atom) = 16.49
- final energy (eV/atom) = -8.897

# 2
Density functional theory data (PBE) for a relaxed Hf4CdSbC2 crystal.

Cell lengths 3.3421, 3.3421, 14.5420 Å; angles 90.00, 90.00, 120.00 degrees
Last column: nearest neighbours and their distance in Å.
Sites, in units of the cell vectors:
C (0.3333, 0.6667, 0.2558)  6 Hf 2.28-2.29
C (0.3333, 0.6667, 0.7442)  6 Hf 2.28-2.29
Cd (0.6667, 0.3333, 0.0000)  6 Hf 3.17, 6 Cd 3.34
Hf (0.0000, 0.0000, 0.1726)  3 C 2.28
Hf (0.6667, 0.3333, 0.3402)  3 C 2.29
Hf (0.6667, 0.3333, 0.6598)  3 C 2.29
Hf (0.0000, 0.0000, 0.8274)  3 C 2.28
Sb (0.0000, 0.0000, 0.5000)  6 Hf 3.02, 6 Sb 3.34

Properties
- volume (Å³ per atom) = 17.58
- final energy (eV/atom) = -8.568

# 3
Density functional theory data (PBE) for a relaxed HfScCdC crystal.

Cell lengths 3.3040, 3.3040, 15.3232 Å; angles 90.00, 90.00, 120.00 degrees
Last column: nearest neighbours and their distance in Å.
Sites, in units of the cell vectors:
C (0.0000, 0.0000, 0.4960)  3 Hf 2.24, 3 Sc 2.32
C (0.0000, 0.0000, 0.9960)  3 Hf 2.24, 3 Sc 2.32
Cd (0.6667, 0.3333, 0.2523)  3 Hf 3.20, 3 Sc 3.24, 6 Cd 3.30
Cd (0.3333, 0.6667, 0.7523)  3 Hf 3.20, 3 Sc 3.24, 6 Cd 3.30
Hf (0.3333, 0.6667, 0.4200)  3 C 2.24
Hf (0.6667, 0.3333, 0.9200)  3 C 2.24
Sc (0.3333, 0.6667, 0.0817)  3 C 2.32
Sc (0.6667, 0.3333, 0.5817)  3 C 2.32

Properties
- volume (Å³ per atom) = 18.11
- final energy (eV/atom) = -7.103
- energy above the most stable polymorph in this dataset (meV/atom) = 5

# 4
Density functional theory data (PBE) for a relaxed HfSc3Cd2C2 crystal.

Cell lengths 3.3103, 3.3103, 15.4527 Å; angles 90.00, 90.00, 120.00 degrees
Last column: nearest neighbours and their distance in Å.
Sites, in units of the cell vectors:
C (0.6667, 0.3333, 0.5003)  6 Sc 2.27-2.28
C (0.6667, 0.3333, 0.9954)  3 Hf 2.24, 3 Sc 2.32
Cd (0.3333, 0.6667, 0.2493)  6 Sc 3.24-3.27, 6 Cd 3.31
Cd (0.0000, 0.0000, 0.7539)  3 Hf 3.20, 3 Sc 3.29, 6 Cd 3.31
Hf (0.3333, 0.6667, 0.9197)  3 C 2.24
Sc (0.0000, 0.0000, 0.0802)  3 C 2.32
Sc (0.0000, 0.0000, 0.4209)  3 C 2.27
Sc (0.3333, 0.6667, 0.5803)  3 C 2.28

Properties
- volume (Å³ per atom) = 18.33
- final energy (eV/atom) = -6.619